# Pr4SmTm10

A geometry-optimized Pr4SmTm10 structure (PBE, the Alexandria database).

```
Pr4SmTm10
1.0
7.266 0.000 3.281
3.633 7.938 1.640
0.366 0.000 8.875
Tm Sm Pr
10 1 4
Cartesian
4.439 1.649 3.812
3.194 1.648 8.342
9.795 6.289 11.324
6.826 6.289 9.984
5.103 6.290 4.113
7.449 3.969 7.718
3.816 3.969 6.078
6.162 1.648 9.683
8.072 6.290 5.454
1.471 1.649 2.472
0.000 0.000 0.000
7.633 3.601 12.155
3.632 4.336 1.642
5.784 0.001 6.563
5.481 7.936 7.233
```

Computed properties:
Crystal system ... tetragonal
Energy relative to the elements ... 0.278 eV/atom
Electronic total energy ... -64.38 eV for the cell shown
Density of states at the Fermi level ... 19.367 states/eV per cell

***

# AgBr2O

A geometry-optimized AgBr2O structure (PBE, the Alexandria database).

```
AgBr2O
1.0
-0.369 -1.656 4.429
0.176 2.994 3.674
-3.910 0.870 2.540
Ag Br O
1 2 1
Cartesian
-2.051 1.104 5.321
-3.076 1.656 7.982
-1.025 0.552 2.661
0.000 0.000 0.000
```

Computed properties:
Crystal system ... cubic
Electronic total energy ... -8.05 eV for the cell shown
Density of states at the Fermi level ... 7.143 states/eV per cell

***

# MgAg3Cl

A geometry-optimized MgAg3Cl structure (PBE, the Alexandria database).

```
MgAg3Cl
1.0
5.085 0.000 0.000
0.000 5.085 0.000
0.000 0.000 5.085
Ag Mg Cl
3 1 1
Cartesian
0.000 0.000 2.542
0.000 2.542 0.000
2.542 0.000 0.000
0.000 0.000 0.000
2.542 2.542 2.542
```

Computed properties:
Crystal system ... cubic
Electronic total energy ... -9.43 eV for the cell shown
Density of states at the Fermi level ... 2.077 states/eV per cell

***

# Sm3Dy2Er6Zr

A geometry-optimized Sm3Dy2Er6Zr structure (PBE, the Alexandria database).

```
Sm3Dy2Er6Zr
1.0
-4.201 -4.111 1.578
3.538 2.517 4.264
-7.429 8.888 -0.527
Dy Er Sm Zr
2 6 3 1
Cartesian
0.959 0.308 3.369
-1.622 -1.902 2.473
-4.863 6.607 4.457
-2.302 0.953 4.279
-5.790 6.341 1.036
-3.229 0.687 0.858
-0.702 2.852 1.735
-7.390 4.443 3.580
-6.629 1.435 1.761
-1.463 5.860 3.554
-4.046 3.647 2.657
0.000 0.000 0.000
```

Computed properties:
Crystal system ... monoclinic
Energy relative to the elements ... 0.043 eV/atom
Electronic total energy ... -58.77 eV for the cell shown
Density of states at the Fermi level ... 15.211 states/eV per cell